# BaTe2NCl

Crystalline BaTe2NCl at its relaxed geometry (PBE, Alexandria).

a = 5.7238 Å, b = 5.7238 Å, c = 4.5954 Å
α = 90.00°, β = 90.00°, γ = 90.00°
Sites, in units of the cell vectors:
1 Cl 0.0000 0.0000 0.0000
2 Ba 0.5000 0.5000 0.5000
3 N 0.0000 0.0000 0.5000
4 Te 0.5000 0.0000 0.0000
5 Te 0.0000 0.5000 0.0000

Values from the calculation:
The calculation puts the energy above the most stable polymorph in this dataset at 0.0 meV per atom. The formation energy without anion corrections is 0.442 eV per atom. The value obtained for the volume is 30.11 Å³ per atom.

=====

# HfGeI2O

Crystalline HfGeI2O at its relaxed geometry (PBE, Alexandria).

a = 5.8504 Å, b = 5.8504 Å, c = 3.6936 Å
α = 90.00°, β = 90.00°, γ = 90.00°
Sites, in units of the cell vectors:
1 O 0.0000 0.0000 0.5000
2 Hf 0.5000 0.5000 0.5000
3 Ge 0.0000 0.0000 0.0000
4 I 0.0000 0.5000 0.0000
5 I 0.5000 0.0000 0.0000

Values from the calculation:
The calculation puts the energy above the most stable polymorph in this dataset at 858.5 meV per atom. The formation energy without anion corrections is 0.116 eV per atom. The value obtained for the volume is 25.28 Å³ per atom.

=====

# EuZnPdPb

Crystalline EuZnPdPb at its relaxed geometry (PBE, Alexandria).

a = 5.0272 Å, b = 5.0272 Å, c = 5.0272 Å
α = 60.00°, β = 60.00°, γ = 60.00°
Sites, in units of the cell vectors:
1 Eu 0.7500 0.7500 0.7500
2 Pb 0.2500 0.2500 0.2500
3 Pd 0.0000 0.0000 0.0000
4 Zn 0.5000 0.5000 0.5000

Values from the calculation:
Its formation energy is -0.39 eV/atom. The value obtained for the volume is 22.46 Å³ per atom.